! Np2CoPdO8 (PBE with a Hubbard U, optimized geometry); values from VASP
&SYSTEM
  ibrav = 0, nat = 12, ntyp = 4
/
ATOMIC_SPECIES
Np 237.00 Np.upf
Co 58.93 Co.upf
Pd 106.42 Pd.upf
O 16.00 O.upf
CELL_PARAMETERS angstrom
-2.687 2.687 5.240
2.687 -2.687 5.240
2.687 2.687 -5.240
ATOMIC_POSITIONS angstrom
Np 0.000 0.000 0.000
Np 0.000 2.687 2.620
Co 0.000 0.000 5.240
Pd 2.687 0.000 2.620
O 3.609 1.743 -2.942
O 3.665 0.975 -0.349
O 0.975 1.710 0.349
O -0.922 0.944 2.298
O 1.743 1.766 2.942
O 1.712 0.978 5.589
O -0.978 1.712 4.891
O 0.944 0.922 8.182
! raw total energy	-8.18	eV/atom
! calculated volume	12.61	A^3/atom
! magnetic moment	0.417	μB/atom
! Fermi-level density of states	0.51	states/eV per atom